No. 1
Below is LiBr2Cl after structural relaxation, with properties calculated at the GGA-PBE level.

CIF file:
```
data_LiBr2Cl
_cell_length_a 4.747
_cell_length_b 5.411
_cell_length_c 5.539
_cell_angle_alpha 90.00
_cell_angle_beta 115.23
_cell_angle_gamma 90.00
_space_group_name_H-M_alt 'P 1 2/m 1'
_space_group_IT_number 10
loop_
_space_group_symop_operation_xyz
'x,y,z'
'-x,-y,-z'
'-x,y,-z'
'x,-y,z'
loop_
_atom_site_label
_atom_site_type_symbol
_atom_site_fract_x
_atom_site_fract_y
_atom_site_fract_z
Li1 Li 0.000 0.000 0.000
Br1 Br 0.211 0.500 0.422
Cl1 Cl 0.500 0.000 0.000
```

relative energy among the computed polymorphs = 81.8 meV per atom
magnetic moment = 0.007 μB/atom
ΔE_f (raw) = -702.6 meV/atom
electronic total energy = -2.48 eV/atom

No. 2
Below is Li4Br3Cl after structural relaxation, with properties calculated at the GGA-PBE level.

CIF file:
```
data_Li4Br3Cl
_cell_length_a 5.431
_cell_length_b 5.431
_cell_length_c 5.431
_cell_angle_alpha 90.00
_cell_angle_beta 90.00
_cell_angle_gamma 90.00
_space_group_name_H-M_alt 'P m -3 m'
_space_group_IT_number 221
_space_group_name_Hall '-P 4 2 3'
loop_
_atom_site_label
_atom_site_type_symbol
_atom_site_fract_x
_atom_site_fract_y
_atom_site_fract_z
Li1 Li 0.000 0.000 0.000
Li2 Li 0.000 0.500 0.500
Br1 Br 0.000 0.000 0.500
Cl1 Cl 0.500 0.500 0.500
```

relative energy among the computed polymorphs = 32.9 meV per atom
magnetic moment = 0.000 μB/atom
ΔE_f (raw) = -1583.4 meV/atom
electronic total energy = -3.40 eV/atom

No. 3
Below is LiBr2Cl after structural relaxation, with properties calculated at the GGA-PBE level.

CIF file:
```
data_LiBr2Cl
_cell_length_a 3.910
_cell_length_b 3.910
_cell_length_c 8.438
_cell_angle_alpha 90.00
_cell_angle_beta 90.00
_cell_angle_gamma 90.00
_space_group_name_H-M_alt 'P 4/m m m'
_space_group_IT_number 123
_space_group_name_Hall '-P 4 2'
loop_
_atom_site_label
_atom_site_type_symbol
_atom_site_fract_x
_atom_site_fract_y
_atom_site_fract_z
Li1 Li 0.000 0.000 0.000
Br1 Br 0.000 0.500 0.500
Cl1 Cl 0.500 0.500 0.000
```

relative energy among the computed polymorphs = 143.0 meV per atom
magnetic moment = 0.000 μB/atom
ΔE_f (raw) = -641.4 meV/atom
electronic total energy = -2.42 eV/atom

No. 4
Below is LiBrCl2 after structural relaxation, with properties calculated at the GGA-PBE level.

CIF file:
```
data_LiBrCl2
_cell_length_a 3.757
_cell_length_b 3.767
_cell_length_c 8.518
_cell_angle_alpha 90.00
_cell_angle_beta 90.00
_cell_angle_gamma 90.00
_space_group_name_H-M_alt 'P m m m'
_space_group_IT_number 47
loop_
_space_group_symop_operation_xyz
'x,y,z'
'-x,-y,-z'
'-x,-y,z'
'x,y,-z'
'x,-y,-z'
'-x,y,z'
'-x,y,-z'
'x,-y,z'
loop_
_atom_site_label
_atom_site_type_symbol
_atom_site_fract_x
_atom_site_fract_y
_atom_site_fract_z
Li1 Li 0.000 0.000 0.000
Br1 Br 0.000 0.500 0.500
Cl1 Cl 0.500 0.000 0.500
Cl2 Cl 0.500 0.500 0.000
```

relative energy among the computed polymorphs = 229.7 meV per atom
magnetic moment = 0.000 μB/atom
ΔE_f (raw) = -655.7 meV/atom
electronic total energy = -2.48 eV/atom

Please write out number 3 again, unchanged.
Below is LiBr2Cl after structural relaxation, with properties calculated at the GGA-PBE level.

CIF file:
```
data_LiBr2Cl
_cell_length_a 3.910
_cell_length_b 3.910
_cell_length_c 8.438
_cell_angle_alpha 90.00
_cell_angle_beta 90.00
_cell_angle_gamma 90.00
_space_group_name_H-M_alt 'P 4/m m m'
_space_group_IT_number 123
_space_group_name_Hall '-P 4 2'
loop_
_atom_site_label
_atom_site_type_symbol
_atom_site_fract_x
_atom_site_fract_y
_atom_site_fract_z
Li1 Li 0.000 0.000 0.000
Br1 Br 0.000 0.500 0.500
Cl1 Cl 0.500 0.500 0.000
```

relative energy among the computed polymorphs = 143.0 meV per atom
magnetic moment = 0.000 μB/atom
ΔE_f (raw) = -641.4 meV/atom
electronic total energy = -2.42 eV/atom